Model P:
Compound: AcZnHg
Source: OQMD via LeMat-Bulk
Functional: PBE
Structure: relaxed

a = 5.1032 Å, b = 5.1032 Å, c = 5.1032 Å
α = 60.00°, β = 60.00°, γ = 60.00°
With the nearest neighbours (Å) after each atom.
Atoms (fractional coordinates):
Ac: 0.2500 0.2500 0.2500  4 Hg 3.13
Hg: 0.0000 0.0000 0.0000  4 Ac 3.13, 4 Zn 3.13
Zn: 0.7500 0.7500 0.7500  4 Hg 3.13

Summary:
* volume: 94 Å³/f.u.
* M_tot: 0.16 μB per atom

---

Model Q:
Compound: AcZnHg
Source: OQMD via LeMat-Bulk
Functional: PBE
Structure: relaxed

a = 5.0122 Å, b = 5.0122 Å, c = 5.0122 Å
α = 60.00°, β = 60.00°, γ = 60.00°
With the nearest neighbours (Å) after each atom.
Atoms (fractional coordinates):
Ac: 0.2500 0.2500 0.2500  4 Zn 3.07
Hg: 0.7500 0.7500 0.7500  4 Zn 3.07
Zn: 0.0000 0.0000 0.0000  4 Ac 3.07, 4 Hg 3.07

Summary:
* volume: 89 Å³/f.u.
* M_tot: 0.03 μB per atom

---

Ordering by calculated energy gives the sequence model Q, model P, with the first entry being the most stable.

---

Model P:
Compound: AcHoMg
Source: OQMD via LeMat-Bulk
Functional: PBE
Structure: relaxed

a = 5.5224 Å, b = 5.5224 Å, c = 5.5224 Å
α = 60.00°, β = 60.00°, γ = 60.00°
With the nearest neighbours (Å) after each atom.
Atoms (fractional coordinates):
Ac: 0.0000 0.0000 0.0000  4 Ho 3.38, 4 Mg 3.38
Ho: 0.2500 0.2500 0.2500  4 Ac 3.38
Mg: 0.7500 0.7500 0.7500  4 Ac 3.38

Summary:
* volume: 119 Å³/f.u.
* M_tot: 0.00 μB per atom

---

Model Q:
Compound: AcHoMg
Source: OQMD via LeMat-Bulk
Functional: PBE
Structure: relaxed

a = 5.4539 Å, b = 5.4539 Å, c = 5.4539 Å
α = 60.00°, β = 60.00°, γ = 60.00°
With the nearest neighbours (Å) after each atom.
Atoms (fractional coordinates):
Ac: 0.2500 0.2500 0.2500  4 Mg 3.34
Ho: 0.7500 0.7500 0.7500  4 Mg 3.34
Mg: 0.0000 0.0000 0.0000  4 Ho 3.34, 4 Ac 3.34

Summary:
* volume: 115 Å³/f.u.
* M_tot: 0.06 μB per atom

---

Ordering by calculated energy gives the sequence model Q, model P, with the first entry being the most stable.

---

Model P:
Compound: AcHoNO
Source: OQMD via LeMat-Bulk
Functional: PBE
Structure: relaxed

a = 6.9304 Å, b = 8.3836 Å, c = 5.4052 Å
α = 90.00°, β = 90.00°, γ = 90.00°
With the nearest neighbours (Å) after each atom.
Atoms (fractional coordinates):
Ac: 0.0589 0.3690 0.0429  1 N 2.46, 4 O 2.47-2.75
Ac: 0.5589 0.6311 0.0429  1 N 2.46, 4 O 2.47-2.75
Ac: 0.4411 0.3690 0.5429  1 N 2.46, 4 O 2.47-2.75
Ac: 0.9411 0.6311 0.5429  1 N 2.46, 4 O 2.47-2.75
Ho: 0.5907 0.1139 0.0233  3 N 2.23-2.30, 1 O 2.24
Ho: 0.0907 0.8861 0.0233  3 N 2.23-2.30, 1 O 2.24
Ho: 0.9093 0.1139 0.5233  3 N 2.23-2.30, 1 O 2.24
Ho: 0.4093 0.8861 0.5233  3 N 2.23-2.30, 1 O 2.24
N: 0.9134 0.1033 0.0978  3 Ho 2.23-2.30, 1 Ac 2.46
N: 0.4134 0.8967 0.0978  3 Ho 2.23-2.30, 1 Ac 2.46
N: 0.5866 0.1033 0.5978  3 Ho 2.23-2.30, 1 Ac 2.46
N: 0.0866 0.8967 0.5978  3 Ho 2.23-2.30, 1 Ac 2.46
O: 0.4135 0.3373 0.0383  1 Ho 2.24, 1 Ac 2.47
O: 0.9135 0.6627 0.0383  1 Ho 2.24, 1 Ac 2.47
O: 0.0865 0.3373 0.5383  1 Ho 2.24, 1 Ac 2.47
O: 0.5865 0.6627 0.5383  1 Ho 2.24, 1 Ac 2.47

Summary:
* volume: 79 Å³/f.u.
* M_tot: 0.19 μB per atom

---

Model Q:
Compound: AcHoNO
Source: OQMD via LeMat-Bulk
Functional: PBE
Structure: relaxed

a = 4.8753 Å, b = 4.8753 Å, c = 6.2425 Å
α = 90.00°, β = 90.00°, γ = 90.00°
With the nearest neighbours (Å) after each atom.
Atoms (fractional coordinates):
Ac: 0.0000 0.0000 0.5000  4 N 2.57
Ac: 0.5000 0.5000 0.5000  4 N 2.57
Ho: 0.5000 0.0000 0.0305  1 N 2.12
Ho: 0.0000 0.5000 0.9695  1 N 2.12
N: 0.5000 0.0000 0.3697  1 Ho 2.12
N: 0.0000 0.5000 0.6303  1 Ho 2.12
O: 0.0000 0.0000 0.0000  4 Ho 2.45
O: 0.5000 0.5000 0.0000  4 Ho 2.45

Summary:
* volume: 74 Å³/f.u.
* M_tot: 0.00 μB per atom

---

Ordering by calculated energy gives the sequence model P, model Q, with the first entry being the most stable.

---

Model P:
Compound: AcHoNO
Source: OQMD via LeMat-Bulk
Functional: PBE
Structure: relaxed

a = 4.0921 Å, b = 5.5441 Å, c = 7.1191 Å
α = 90.00°, β = 90.00°, γ = 90.00°
With the nearest neighbours (Å) after each atom.
Atoms (fractional coordinates):
Ac: 0.5000 0.9574 0.1658  2 N 2.51, 2 O 2.68-2.70
Ac: 0.5000 0.4574 0.8342  2 N 2.51, 2 O 2.68-2.70
Ho: 0.0000 0.4760 0.3367  2 N 2.22-2.25, 2 O 2.24
Ho: 0.0000 0.9760 0.6633  2 N 2.22-2.25, 2 O 2.24
N: 0.0000 0.8802 0.3609  2 Ho 2.22-2.25
N: 0.0000 0.3802 0.6391  2 Ho 2.22-2.25
O: 0.5000 0.4404 0.2099  2 Ho 2.24
O: 0.5000 0.9404 0.7901  2 Ho 2.24

Summary:
* volume: 81 Å³/f.u.
* M_tot: 0.22 μB per atom

---

Model Q:
Compound: AcHoNO
Source: OQMD via LeMat-Bulk
Functional: PBE
Structure: relaxed

a = 4.5371 Å, b = 4.5371 Å, c = 8.9176 Å
α = 90.00°, β = 90.00°, γ = 90.00°
With the nearest neighbours (Å) after each atom.
Atoms (fractional coordinates):
Ac: 0.2500 0.2500 0.1215  4 O 2.51
Ac: 0.7500 0.7500 0.8785  4 O 2.51
Ho: 0.7500 0.2500 0.5000  4 N 2.30
Ho: 0.2500 0.7500 0.5000  4 N 2.30
N: 0.7500 0.7500 0.4563  4 Ho 2.30
N: 0.2500 0.2500 0.5437  4 Ho 2.30
O: 0.7500 0.2500 0.0000  4 Ac 2.51
O: 0.2500 0.7500 0.0000  4 Ac 2.51

Summary:
* volume: 92 Å³/f.u.
* M_tot: 0.00 μB per atom

---

Model R:
Compound: AcHoNO
Source: OQMD via LeMat-Bulk
Functional: PBE
Structure: relaxed

a = 4.0511 Å, b = 5.8772 Å, c = 6.9565 Å
α = 90.00°, β = 90.00°, γ = 90.00°
With the nearest neighbours (Å) after each atom.
Atoms (fractional coordinates):
Ac: 0.0000 0.4804 0.3416  2 N 2.53-2.57, 2 O 2.62
Ac: 0.0000 0.9804 0.6584  2 N 2.53-2.57, 2 O 2.62
Ho: 0.5000 0.9937 0.1734  2 O 2.20-2.21, 2 N 2.25
Ho: 0.5000 0.4937 0.8266  2 O 2.20-2.21, 2 N 2.25
N: 0.0000 0.9143 0.2986  2 Ho 2.25
N: 0.0000 0.4143 0.7014  2 Ho 2.25
O: 0.5000 0.3656 0.1242  2 Ho 2.20-2.21
O: 0.5000 0.8656 0.8758  2 Ho 2.20-2.21

Summary:
* volume: 83 Å³/f.u.
* M_tot: 0.18 μB per atom

---

Ordering by calculated energy gives the sequence model P, model R, model Q, with the first entry being the most stable.

---

Model P:
Compound: AcHoNp
Source: OQMD via LeMat-Bulk
Functional: PBE
Structure: relaxed

a = 5.5239 Å, b = 5.5239 Å, c = 5.5239 Å
α = 60.00°, β = 60.00°, γ = 60.00°
With the nearest neighbours (Å) after each atom.
Atoms (fractional coordinates):
Ac: 0.2500 0.2500 0.2500  4 Ho 3.38
Ho: 0.0000 0.0000 0.0000  4 Ac 3.38, 4 Np 3.38
Np: 0.7500 0.7500 0.7500  4 Ho 3.38

Summary:
* volume: 119 Å³/f.u.
* M_tot: 1.68 μB per atom

---

Model Q:
Compound: AcHoNp
Source: OQMD via LeMat-Bulk
Functional: PBE
Structure: relaxed

a = 5.4262 Å, b = 5.4262 Å, c = 5.4262 Å
α = 60.00°, β = 60.00°, γ = 60.00°
With the nearest neighbours (Å) after each atom.
Atoms (fractional coordinates):
Ac: 0.0000 0.0000 0.0000  4 Ho 3.32, 4 Np 3.32
Ho: 0.2500 0.2500 0.2500  4 Ac 3.32
Np: 0.7500 0.7500 0.7500  4 Ac 3.32

Summary:
* volume: 113 Å³/f.u.
* M_tot: 2.05 μB per atom

---

Ordering by calculated energy gives the sequence model P, model Q, with the first entry being the most stable.

---

Model P:
Compound: AcHoPu
Source: OQMD via LeMat-Bulk
Functional: PBE
Structure: relaxed

a = 5.3560 Å, b = 5.3560 Å, c = 5.3560 Å
α = 60.00°, β = 60.00°, γ = 60.00°
With the nearest neighbours (Å) after each atom.
Atoms (fractional coordinates):
Ac: 0.0000 0.0000 0.0000  4 Ho 3.28, 4 Pu 3.28
Ho: 0.2500 0.2500 0.2500  4 Ac 3.28
Pu: 0.7500 0.7500 0.7500  4 Ac 3.28

Summary:
* volume: 109 Å³/f.u.
* M_tot: 2.38 μB per atom

---

Model Q:
Compound: AcHoPu
Source: OQMD via LeMat-Bulk
Functional: PBE
Structure: relaxed

a = 5.4613 Å, b = 5.4613 Å, c = 5.4613 Å
α = 60.00°, β = 60.00°, γ = 60.00°
With the nearest neighbours (Å) after each atom.
Atoms (fractional coordinates):
Ac: 0.2500 0.2500 0.2500  4 Pu 3.34
Ho: 0.7500 0.7500 0.7500  4 Pu 3.34
Pu: 0.0000 0.0000 0.0000  4 Ho 3.34, 4 Ac 3.34

Summary:
* volume: 115 Å³/f.u.
* M_tot: 2.14 μB per atom

---

Ordering by calculated energy gives the sequence model Q, model P, with the first entry being the most stable.

---

Model P:
Compound: AcHoSb
Source: OQMD via LeMat-Bulk
Functional: PBE
Structure: relaxed

a = 5.3300 Å, b = 5.3300 Å, c = 5.3300 Å
α = 60.00°, β = 60.00°, γ = 60.00°
With the nearest neighbours (Å) after each atom.
Atoms (fractional coordinates):
Ac: 0.5000 0.5000 0.5000  4 Sb 3.26
Ho: 0.0000 0.0000 0.0000  4 Sb 3.26
Sb: 0.2500 0.2500 0.2500  4 Ac 3.26, 4 Ho 3.26

Summary:
* volume: 107 Å³/f.u.
* M_tot: 0.01 μB per atom

---

Model Q:
Compound: AcHoSb
Source: OQMD via LeMat-Bulk
Functional: PBE
Structure: relaxed

a = 5.5335 Å, b = 5.5335 Å, c = 5.5335 Å
α = 60.00°, β = 60.00°, γ = 60.00°
With the nearest neighbours (Å) after each atom.
Atoms (fractional coordinates):
Ac: 0.0000 0.0000 0.0000  4 Ho 3.39, 4 Sb 3.39
Ho: 0.2500 0.2500 0.2500  4 Ac 3.39
Sb: 0.7500 0.7500 0.7500  4 Ac 3.39

Summary:
* volume: 120 Å³/f.u.
* M_tot: 0.01 μB per atom

---

Ordering by calculated energy gives the sequence model P, model Q, with the first entry being the most stable.